Computed, not measured: an optimized crystal structure of RbBa2TcO4 at the PBE level of DFT.

POSCAR file:
```
RbBa2TcO4
1.0
1.914 -7.040 0.000
1.914 7.040 0.000
0.000 0.000 13.253
Rb Ba Tc O
2 4 2 8
Direct
0.059 0.941 0.750
0.941 0.059 0.250
0.372 0.628 0.542
0.372 0.628 0.958
0.628 0.372 0.042
0.628 0.372 0.458
0.222 0.778 0.250
0.778 0.222 0.750
0.000 0.000 0.000
0.000 0.000 0.500
0.251 0.749 0.110
0.251 0.749 0.390
0.330 0.670 0.750
0.670 0.330 0.250
0.749 0.251 0.610
0.749 0.251 0.890
```

=====

Computed, not measured: an optimized crystal structure of RbBa2TcO6 at the PBE level of DFT.

POSCAR file:
```
RbBa2TcO6
1.0
2.951 1.704 13.483
-2.951 1.704 13.483
0.000 -3.407 13.483
Rb Ba Tc O
2 4 2 12
Direct
0.087 0.087 0.087
0.913 0.913 0.913
0.189 0.189 0.189
0.355 0.355 0.355
0.645 0.645 0.645
0.811 0.811 0.811
0.000 0.000 0.000
0.500 0.500 0.500
0.126 0.126 0.667
0.126 0.667 0.126
0.219 0.681 0.681
0.319 0.319 0.781
0.319 0.781 0.319
0.333 0.874 0.874
0.667 0.126 0.126
0.681 0.219 0.681
0.681 0.681 0.219
0.781 0.319 0.319
0.874 0.333 0.874
0.874 0.874 0.333
```

=====

Computed, not measured: an optimized crystal structure of Rb3BaTc2O8 at the PBE level of DFT.

POSCAR file:
```
Rb3BaTc2O8
1.0
6.505 0.000 0.000
-3.252 5.633 0.000
0.000 0.000 8.295
Rb Ba Tc O
3 1 2 8
Direct
0.000 0.000 0.000
0.333 0.667 0.678
0.667 0.333 0.322
0.000 0.000 0.500
0.333 0.667 0.217
0.667 0.333 0.783
0.183 0.366 0.302
0.183 0.817 0.302
0.333 0.667 0.002
0.366 0.183 0.698
0.634 0.817 0.302
0.667 0.333 0.998
0.817 0.183 0.698
0.817 0.634 0.698
```

=====

Computed, not measured: an optimized crystal structure of Rb3Ba3TcO8 at the PBE level of DFT.

POSCAR file:
```
Rb3Ba3TcO8
1.0
3.813 2.202 6.595
-3.813 2.202 6.595
0.000 -4.403 6.595
Rb Ba Tc O
3 3 1 8
Direct
0.000 0.500 0.500
0.500 0.000 0.500
0.500 0.500 0.000
0.000 0.000 0.500
0.000 0.500 0.000
0.500 0.000 0.000
0.500 0.500 0.500
0.236 0.236 0.236
0.314 0.676 0.676
0.324 0.324 0.686
0.324 0.686 0.324
0.676 0.314 0.676
0.676 0.676 0.314
0.686 0.324 0.324
0.764 0.764 0.764
```

=====

Computed, not measured: an optimized crystal structure of Rb2BaTc2O7 at the PBE level of DFT.

POSCAR file:
```
Rb2BaTc2O7
1.0
-2.014 2.014 11.177
2.014 -2.014 11.177
2.014 2.014 -11.177
Rb Ba Tc O
2 1 2 7
Direct
0.188 0.188 0.000
0.812 0.812 0.000
0.000 0.000 0.000
0.408 0.408 0.000
0.592 0.592 0.000
0.088 0.588 0.500
0.326 0.326 0.000
0.412 0.912 0.500
0.500 0.500 0.000
0.588 0.088 0.500
0.674 0.674 0.000
0.912 0.412 0.500
```

=====

Computed, not measured: an optimized crystal structure of RbBaTcO4 at the PBE level of DFT.

POSCAR file:
```
RbBaTcO4
1.0
6.696 0.000 0.000
0.000 6.250 0.000
-2.053 0.000 7.529
Rb Ba Tc O
2 2 2 8
Direct
0.205 0.250 0.423
0.795 0.750 0.577
0.290 0.250 0.941
0.710 0.750 0.059
0.241 0.750 0.181
0.759 0.250 0.819
0.071 0.750 0.330
0.081 0.750 0.949
0.434 0.527 0.205
0.434 0.973 0.205
0.566 0.027 0.795
0.566 0.473 0.795
0.919 0.250 0.051
0.929 0.250 0.670
```

=====

Computed, not measured: an optimized crystal structure of RbBa2TeO at the PBE level of DFT.

POSCAR file:
```
RbBa2TeO
1.0
5.400 0.000 0.000
0.000 5.400 0.000
0.000 0.000 5.738
Rb Ba Te O
1 2 1 1
Direct
0.000 0.000 0.000
0.000 0.500 0.500
0.500 0.000 0.500
0.500 0.500 0.000
0.000 0.000 0.500
```

=====

Computed, not measured: an optimized crystal structure of Rb2BaTe2O6 at the PBE level of DFT.

POSCAR file:
```
Rb2BaTe2O6
1.0
5.128 -3.311 0.000
5.128 3.311 0.000
-3.293 0.000 7.341
Rb Ba Te O
2 1 2 6
Direct
0.198 0.198 0.136
0.802 0.802 0.864
0.000 0.000 0.500
0.418 0.418 0.759
0.582 0.582 0.241
0.239 0.687 0.228
0.279 0.279 0.519
0.313 0.761 0.772
0.687 0.239 0.228
0.721 0.721 0.481
0.761 0.313 0.772
```

=====

Computed, not measured: an optimized crystal structure of Rb2Ba2TeO6 at the PBE level of DFT.

POSCAR file:
```
Rb2Ba2TeO6
1.0
3.313 -5.531 0.000
3.313 5.531 0.000
-1.672 0.000 6.711
Rb Ba Te O
2 2 1 6
Direct
0.155 0.845 0.000
0.845 0.155 0.000
0.338 0.662 0.500
0.662 0.338 0.500
0.000 0.000 0.500
0.040 0.299 0.663
0.197 0.197 0.323
0.299 0.040 0.663
0.701 0.960 0.337
0.803 0.803 0.677
0.960 0.701 0.337
```

=====

Computed, not measured: an optimized crystal structure of Rb3BaTe2O6 at the PBE level of DFT.

POSCAR file:
```
Rb3BaTe2O6
1.0
6.523 0.000 0.000
-3.261 5.649 0.000
0.000 0.000 7.655
Rb Ba Te O
3 1 2 6
Direct
0.000 0.000 0.000
0.333 0.667 0.652
0.667 0.333 0.348
0.000 0.000 0.500
0.333 0.667 0.167
0.667 0.333 0.833
0.187 0.373 0.292
0.187 0.813 0.292
0.373 0.187 0.708
0.627 0.813 0.292
0.813 0.187 0.708
0.813 0.627 0.708
```

=====

Computed, not measured: an optimized crystal structure of Rb2BaTeO4 at the PBE level of DFT.

POSCAR file:
```
Rb2BaTeO4
1.0
5.525 -5.863 0.000
5.525 5.863 0.000
-5.332 0.000 5.637
Rb Ba Te O
4 2 2 8
Direct
0.000 0.000 0.234
0.000 0.000 0.766
0.015 0.492 0.310
0.508 0.985 0.690
0.495 0.484 0.254
0.516 0.505 0.746
0.018 0.495 0.821
0.505 0.982 0.179
0.178 0.333 0.776
0.190 0.680 0.158
0.277 0.301 0.299
0.320 0.810 0.842
0.666 0.181 0.195
0.667 0.822 0.224
0.699 0.723 0.701
0.819 0.334 0.805
```

=====

Computed, not measured: an optimized crystal structure of Rb2BaTeO at the PBE level of DFT.

POSCAR file:
```
Rb2BaTeO
1.0
5.631 0.000 0.000
0.000 5.631 0.000
0.000 0.000 5.313
Rb Ba Te O
2 1 1 1
Direct
0.000 0.500 0.000
0.500 0.000 0.000
0.000 0.000 0.500
0.500 0.500 0.500
0.000 0.000 0.000
```

=====

Computed, not measured: an optimized crystal structure of RbBa2TiO4 at the PBE level of DFT.

POSCAR file:
```
RbBa2TiO4
1.0
1.927 -6.978 0.000
1.927 6.978 0.000
0.000 0.000 13.121
Rb Ba Ti O
2 4 2 8
Direct
0.094 0.906 0.750
0.906 0.094 0.250
0.373 0.627 0.539
0.373 0.627 0.961
0.627 0.373 0.039
0.627 0.373 0.461
0.198 0.802 0.250
0.802 0.198 0.750
0.000 0.000 0.000
0.000 0.000 0.500
0.259 0.741 0.125
0.259 0.741 0.375
0.343 0.657 0.750
0.657 0.343 0.250
0.741 0.259 0.625
0.741 0.259 0.875
```

=====

Computed, not measured: an optimized crystal structure of RbBaTiO4 at the PBE level of DFT.

POSCAR file:
```
RbBaTiO4
1.0
2.862 -6.897 0.000
2.862 6.897 0.000
0.000 0.000 5.758
Rb Ba Ti O
2 2 2 8
Direct
0.095 0.905 0.750
0.905 0.095 0.250
0.390 0.610 0.750
0.610 0.390 0.250
0.258 0.742 0.250
0.742 0.258 0.750
0.000 0.500 0.000
0.000 0.500 0.500
0.116 0.884 0.250
0.396 0.604 0.250
0.500 0.000 0.000
0.500 0.000 0.500
0.604 0.396 0.750
0.884 0.116 0.750
```

=====

Computed, not measured: an optimized crystal structure of RbBa3Tl2O6 at the PBE level of DFT.

POSCAR file:
```
RbBa3Tl2O6
1.0
6.770 0.000 0.000
-3.385 5.863 0.000
0.000 0.000 6.954
Rb Ba Tl O
1 3 2 6
Direct
0.000 0.000 0.000
0.000 0.000 0.500
0.333 0.667 0.077
0.667 0.333 0.923
0.333 0.667 0.605
0.667 0.333 0.395
0.178 0.355 0.773
0.178 0.822 0.773
0.355 0.178 0.227
0.645 0.822 0.773
0.822 0.178 0.227
0.822 0.645 0.227
```

=====

Computed, not measured: an optimized crystal structure of Rb2BaTlO4 at the PBE level of DFT.

POSCAR file:
```
Rb2BaTlO4
1.0
5.147 -5.718 0.000
5.147 5.718 0.000
-4.985 0.000 5.809
Rb Ba Tl O
4 2 2 8
Direct
0.000 0.000 0.000
0.000 0.000 0.500
0.000 0.500 0.000
0.500 0.000 0.500
0.000 0.500 0.500
0.500 0.000 0.000
0.500 0.500 0.000
0.500 0.500 0.500
0.254 0.744 0.524
0.256 0.746 0.976
0.293 0.304 0.496
0.304 0.293 0.996
0.696 0.707 0.004
0.707 0.696 0.504
0.744 0.254 0.024
0.746 0.256 0.476
```

=====

Computed, not measured: an optimized crystal structure of RbBa2TlO4 at the PBE level of DFT.

POSCAR file:
```
RbBa2TlO4
1.0
5.581 -5.370 0.000
5.581 5.370 0.000
-5.448 0.000 5.609
Rb Ba Tl O
2 4 2 8
Direct
0.000 0.000 0.000
0.000 0.000 0.500
0.000 0.500 0.000
0.500 0.000 0.500
0.500 0.500 0.000
0.500 0.500 0.500
0.000 0.500 0.500
0.500 0.000 0.000
0.214 0.320 0.517
0.255 0.741 0.473
0.259 0.745 0.027
0.320 0.214 0.017
0.680 0.786 0.983
0.741 0.255 0.973
0.745 0.259 0.527
0.786 0.680 0.483
```

=====

Computed, not measured: an optimized crystal structure of RbBaTmO3 at the PBE level of DFT.

POSCAR file:
```
RbBaTmO3
1.0
3.351 -6.449 0.000
3.351 6.449 0.000
-1.379 0.000 5.767
Rb Ba Tm O
2 2 2 6
Direct
0.069 0.931 0.750
0.931 0.069 0.250
0.272 0.728 0.250
0.728 0.272 0.750
0.445 0.555 0.750
0.555 0.445 0.250
0.260 0.379 0.025
0.277 0.723 0.750
0.379 0.260 0.525
0.621 0.740 0.475
0.723 0.277 0.250
0.740 0.621 0.975
```

=====

Computed, not measured: an optimized crystal structure of Rb3Ba2UO6 at the PBE level of DFT.

POSCAR file:
```
Rb3Ba2UO6
1.0
3.339 -5.789 0.000
3.339 5.789 0.000
-2.233 0.000 6.567
Rb Ba U O
3 2 1 6
Direct
0.000 0.000 0.000
0.339 0.661 0.000
0.661 0.339 0.000
0.167 0.833 0.500
0.833 0.167 0.500
0.500 0.500 0.500
0.165 0.438 0.314
0.287 0.287 0.685
0.438 0.165 0.314
0.562 0.835 0.686
0.713 0.713 0.315
0.835 0.562 0.686
```

=====

Computed, not measured: an optimized crystal structure of Rb2Ba2UO6 at the PBE level of DFT.

POSCAR file:
```
Rb2Ba2UO6
1.0
3.376 -5.651 0.000
3.376 5.651 0.000
-1.915 0.000 6.684
Rb Ba U O
2 2 1 6
Direct
0.160 0.840 0.000
0.840 0.160 0.000
0.337 0.663 0.500
0.663 0.337 0.500
0.000 0.000 0.500
0.042 0.319 0.668
0.204 0.204 0.319
0.319 0.042 0.668
0.681 0.958 0.332
0.796 0.796 0.681
0.958 0.681 0.332
```

=====

For the records above, the corresponding calculated total energy values read -6.144 -6.436 -6.429 -5.778 -6.689 -6.583 -4.045 -5.263 -5.335 -4.966 -5.004 -3.809 -6.433 -6.740 -4.804 -4.513 -4.979 -6.211 -6.382 -6.854 eV/atom.
For the records above, the corresponding energy relative to the elements, uncorrected values read -1.77 -1.94 -1.77 -1.86 -1.75 -1.86 -1.46 -1.64 -1.82 -1.56 -1.65 -1.42 -2.37 -2.37 -1.37 -1.26 -1.60 -2.50 -2.40 -2.60 eV/atom.
For the records above, the corresponding total moment values read 0.152 0.000 0.214 0.000 0.000 0.286 0.000 0.000 0.000 0.086 0.015 0.000 0.118 0.145 0.063 0.135 0.000 0.000 0.083 0.000 μB per atom.